[1]
! GGA-PBE Hf2Sc7, relaxed; values from VASP
&SYSTEM
  ibrav = 0, nat = 9, ntyp = 2
/
ATOMIC_SPECIES
Hf 178.49 Hf.upf
Sc 44.96 Sc.upf
CELL_PARAMETERS angstrom
5.5695 0.0000 0.0000
-2.7847 4.8233 0.0000
0.0000 0.0000 7.9545
ATOMIC_POSITIONS crystal
Hf 0.3333 0.6667 0.0000
Hf 0.6667 0.3333 0.0000
Sc 0.0000 0.6625 0.3246
Sc 0.3375 0.3375 0.3246
Sc 0.6625 0.6625 0.6754
Sc 0.0000 0.0000 0.0000
Sc 0.3375 0.0000 0.6754
Sc 0.0000 0.3375 0.6754
Sc 0.6625 0.0000 0.3246
! **ρ**: 5.2 g cm⁻³
! **Energy of formation**: 44 kJ/mol of formula units
! **Total magnetic moment**: 0.0 Bohr magnetons per cell

[2]
! GGA-PBE HfSc, relaxed; values from VASP
&SYSTEM
  ibrav = 0, nat = 2, ntyp = 2
/
ATOMIC_SPECIES
Sc 44.96 Sc.upf
Hf 178.49 Hf.upf
CELL_PARAMETERS angstrom
3.1608 0.0000 0.0000
0.0000 3.1608 0.0000
0.0000 0.0000 4.5834
ATOMIC_POSITIONS crystal
Sc 0.0000 0.0000 0.5000
Hf 0.5000 0.5000 0.0000
! **ρ**: 8.1 g cm⁻³
! **Energy of formation**: 15 kJ/mol of formula units
! **Total magnetic moment**: 0.0 Bohr magnetons per cell

[3]
! GGA-PBE HfSc, relaxed; values from VASP
&SYSTEM
  ibrav = 0, nat = 4, ntyp = 2
/
ATOMIC_SPECIES
Hf 178.49 Hf.upf
Sc 44.96 Sc.upf
CELL_PARAMETERS angstrom
-2.4384 -1.1228 -1.7728
-0.0109 -3.0693 -0.9638
-5.8549 -4.0955 7.7145
ATOMIC_POSITIONS crystal
Hf 0.7070 0.7071 0.8791
Hf 0.2930 0.2929 0.1209
Sc 0.1232 0.1232 0.6309
Sc 0.8768 0.8768 0.3691
! **ρ**: 8.0 g cm⁻³
! **Energy of formation**: 7 kJ/mol of formula units
! **Total magnetic moment**: 0.0 Bohr magnetons per cell

[4]
! GGA-PBE Hf2Sc3, relaxed; values from VASP
&SYSTEM
  ibrav = 0, nat = 10, ntyp = 2
/
ATOMIC_SPECIES
Hf 178.49 Hf.upf
Sc 44.96 Sc.upf
CELL_PARAMETERS angstrom
4.9965 0.9748 -2.4546
-1.2299 4.9399 -2.4546
0.3949 0.6201 8.5126
ATOMIC_POSITIONS crystal
Hf 0.3111 0.6483 0.1104
Hf 0.5379 0.2008 0.8896
Hf 0.8983 0.0611 0.6104
Hf 0.4508 0.2879 0.3896
Sc 0.8064 0.9279 0.1924
Sc 0.1091 0.1091 0.0000
Sc 0.8640 0.4855 0.3076
Sc 0.1779 0.5564 0.6924
Sc 0.3591 0.8591 0.5000
Sc 0.7355 0.6140 0.8076
! **ρ**: 7.0 g cm⁻³
! **Energy of formation**: 92 kJ/mol of formula units
! **Distance to the lowest polymorph of the same formula**: 17.4 kJ per mole of atoms
! **Total magnetic moment**: 0.0 Bohr magnetons per cell

[5]
! GGA-PBE HfSc, relaxed; values from VASP
&SYSTEM
  ibrav = 0, nat = 2, ntyp = 2
/
ATOMIC_SPECIES
Hf 178.49 Hf.upf
Sc 44.96 Sc.upf
CELL_PARAMETERS angstrom
-2.8402 -0.0690 -1.5476
-2.6665 -0.9680 1.5554
-0.9008 4.7946 1.4394
ATOMIC_POSITIONS crystal
Hf 0.3333 0.3333 0.2500
Sc 0.6667 0.6667 0.7500
! **ρ**: 8.0 g cm⁻³
! **Energy of formation**: 3 kJ/mol of formula units
! **Total magnetic moment**: 0.0 Bohr magnetons per cell

[6]
! GGA-PBE HfSc5, relaxed; values from VASP
&SYSTEM
  ibrav = 0, nat = 12, ntyp = 2
/
ATOMIC_SPECIES
Sc 44.96 Sc.upf
Hf 178.49 Hf.upf
CELL_PARAMETERS angstrom
5.4682 -1.1449 0.0000
-2.5715 5.9193 0.0000
0.0000 0.0000 9.7017
ATOMIC_POSITIONS crystal
Sc 0.2500 0.0001 0.0888
Sc 0.2500 0.5001 0.0833
Sc 0.7500 0.4999 0.5833
Sc 0.7500 0.4999 0.9167
Sc 0.7500 0.0002 0.2500
Sc 0.7500 0.9999 0.9112
Sc 0.2500 0.9998 0.7500
Sc 0.2500 0.0001 0.4112
Sc 0.7500 0.9999 0.5888
Sc 0.2500 0.5001 0.4167
Hf 0.2500 0.4999 0.7500
Hf 0.7500 0.5001 0.2500
! **ρ**: 4.7 g cm⁻³
! **Energy of formation**: 34 kJ/mol of formula units
! **Distance to the lowest polymorph of the same formula**: 5.0 kJ per mole of atoms
! **Total magnetic moment**: 0.0 Bohr magnetons per cell

Which value of energy of formation does entry 3 give? 7 kJ/mol of formula units

Which formula does entry 3 have? HfSc

What did the fourth record say?
! GGA-PBE Hf2Sc3, relaxed; values from VASP
&SYSTEM
  ibrav = 0, nat = 10, ntyp = 2
/
ATOMIC_SPECIES
Hf 178.49 Hf.upf
Sc 44.96 Sc.upf
CELL_PARAMETERS angstrom
4.9965 0.9748 -2.4546
-1.2299 4.9399 -2.4546
0.3949 0.6201 8.5126
ATOMIC_POSITIONS crystal
Hf 0.3111 0.6483 0.1104
Hf 0.5379 0.2008 0.8896
Hf 0.8983 0.0611 0.6104
Hf 0.4508 0.2879 0.3896
Sc 0.8064 0.9279 0.1924
Sc 0.1091 0.1091 0.0000
Sc 0.8640 0.4855 0.3076
Sc 0.1779 0.5564 0.6924
Sc 0.3591 0.8591 0.5000
Sc 0.7355 0.6140 0.8076
! **ρ**: 7.0 g cm⁻³
! **Energy of formation**: 92 kJ/mol of formula units
! **Distance to the lowest polymorph of the same formula**: 17.4 kJ per mole of atoms
! **Total magnetic moment**: 0.0 Bohr magnetons per cell

What did the second record say?
! GGA-PBE HfSc, relaxed; values from VASP
&SYSTEM
  ibrav = 0, nat = 2, ntyp = 2
/
ATOMIC_SPECIES
Sc 44.96 Sc.upf
Hf 178.49 Hf.upf
CELL_PARAMETERS angstrom
3.1608 0.0000 0.0000
0.0000 3.1608 0.0000
0.0000 0.0000 4.5834
ATOMIC_POSITIONS crystal
Sc 0.0000 0.0000 0.5000
Hf 0.5000 0.5000 0.0000
! **ρ**: 8.1 g cm⁻³
! **Energy of formation**: 15 kJ/mol of formula units
! **Total magnetic moment**: 0.0 Bohr magnetons per cell